No. 1
## U2PaO8 (PBE-GGA)

Data for crystalline U2PaO8 at its relaxed geometry. Values from VASP.

The structure in Quantum ESPRESSO input format:
```
&SYSTEM
  ibrav = 0, nat = 11, ntyp = 3
/
ATOMIC_SPECIES
O 16.00 O.upf
U 238.03 U.upf
Pa 231.04 Pa.upf
CELL_PARAMETERS angstrom
-0.4669 1.7877 -3.4096
-4.8425 -4.0839 0.7274
-2.6404 5.1997 3.0879
ATOMIC_POSITIONS crystal
O 0.7960 0.5919 0.4341
O 0.0768 0.1537 0.1598
O 0.3012 0.6025 0.9268
O 0.4230 0.8459 0.2739
O 0.5770 0.1541 0.7261
O 0.2040 0.4081 0.5659
O 0.6988 0.3975 0.0732
O 0.9232 0.8463 0.8402
U 0.2541 0.5082 0.2601
U 0.7459 0.4918 0.7399
Pa 0.5000 0.0000 0.0000
```

Results
The total magnetic moment comes out at 1.03 μB per cell. The calculation puts the density of states at the Fermi level at 6.4 states/eV/f.u. Its total energy is -9.7609 eV per atom.

No. 2
## PtW4Cl (PBE-GGA)

Data for crystalline PtW4Cl at its relaxed geometry. Values from VASP.

The structure in Quantum ESPRESSO input format:
```
&SYSTEM
  ibrav = 0, nat = 6, ntyp = 3
/
ATOMIC_SPECIES
W 183.84 W.upf
Cl 35.45 Cl.upf
Pt 195.08 Pt.upf
CELL_PARAMETERS angstrom
-0.9756 2.1489 4.7575
-0.0792 5.2801 0.5629
-4.5965 2.5070 0.8891
ATOMIC_POSITIONS crystal
W 0.3760 0.3760 0.8721
W 0.3760 0.3760 0.3760
W 0.3760 0.8721 0.3760
W 0.8721 0.3760 0.3760
Cl 0.7500 0.7500 0.7500
Pt 0.0000 0.0000 0.0000
```

Results
The total magnetic moment comes out at 0.00 μB per cell. The calculation puts the density of states at the Fermi level at 4.6 states/eV/f.u. Its total energy is -8.9309 eV per atom.

No. 3
## Ba3PmZn2O6 (PBE-GGA)

Data for crystalline Ba3PmZn2O6 at its relaxed geometry. Values from VASP.

The structure in Quantum ESPRESSO input format:
```
&SYSTEM
  ibrav = 0, nat = 12, ntyp = 4
/
ATOMIC_SPECIES
O 16.00 O.upf
Ba 137.33 Ba.upf
Zn 65.41 Zn.upf
Pm 145.00 Pm.upf
CELL_PARAMETERS angstrom
-2.2318 -3.7466 -4.4761
6.1292 1.1759 0.3221
0.8509 -5.6034 4.2660
ATOMIC_POSITIONS crystal
O 0.8310 0.6621 0.6989
O 0.8310 0.1690 0.6989
O 0.1690 0.3379 0.3011
O 0.3379 0.1690 0.6989
O 0.6621 0.8310 0.3011
O 0.1690 0.8310 0.3011
Ba 0.6667 0.3333 0.3587
Ba 0.3333 0.6667 0.6413
Ba 0.0000 0.0000 0.0000
Zn 0.6667 0.3333 0.8054
Zn 0.3333 0.6667 0.1946
Pm 0.0000 0.0000 0.5000
```

Results
The total magnetic moment comes out at 0.69 μB per cell. The calculation puts the density of states at the Fermi level at 2.4 states/eV/f.u. Its total energy is -5.7332 eV per atom.

No. 4
## AgAs2OsSe (PBE-GGA)

Data for crystalline AgAs2OsSe at its relaxed geometry. Values from VASP.

The structure in Quantum ESPRESSO input format:
```
&SYSTEM
  ibrav = 0, nat = 5, ntyp = 4
/
ATOMIC_SPECIES
Os 190.23 Os.upf
Ag 107.87 Ag.upf
As 74.92 As.upf
Se 78.96 Se.upf
CELL_PARAMETERS angstrom
-2.8825 2.7930 -2.3200
-3.5774 -1.6781 2.4245
0.7545 4.0068 3.8865
ATOMIC_POSITIONS crystal
Os 0.0000 0.0000 0.0000
Ag 0.5000 0.5000 0.5000
As 0.0000 0.5000 0.0000
As 0.5000 0.0000 0.0000
Se 0.0000 0.0000 0.5000
```

Results
The total magnetic moment comes out at 0.00 μB per cell. As for the relative energy among the computed polymorphs: 0.000 eV per atom. The calculation puts the density of states at the Fermi level at 3.1 states/eV/f.u.

No. 5
## K4In3Hg16 (PBE-GGA)

Data for crystalline K4In3Hg16 at its relaxed geometry. Values from VASP.

The structure in Quantum ESPRESSO input format:
```
&SYSTEM
  ibrav = 0, nat = 23, ntyp = 3
/
ATOMIC_SPECIES
Hg 200.59 Hg.upf
K 39.10 K.upf
In 114.82 In.upf
CELL_PARAMETERS angstrom
-5.1041 -4.6287 -2.6838
3.2643 0.2449 -6.6305
7.3562 -9.9976 3.2523
ATOMIC_POSITIONS crystal
Hg 0.5000 0.5000 0.2102
Hg 0.7092 0.7092 0.0000
Hg 0.2908 0.2908 0.0000
Hg 0.7092 0.2908 0.0000
Hg 0.2596 0.2596 0.3695
Hg 0.2596 0.7404 0.6305
Hg 0.7404 0.7404 0.6305
Hg 0.7404 0.2596 0.6305
Hg 0.2596 0.2596 0.6305
Hg 0.2596 0.7404 0.3695
Hg 0.2908 0.7092 0.0000
Hg 0.7404 0.2596 0.3695
Hg 0.7404 0.7404 0.3695
Hg 0.0000 0.0000 0.7560
Hg 0.0000 0.0000 0.2440
Hg 0.5000 0.5000 0.7898
K 0.0000 0.5000 0.8134
K 0.5000 0.0000 0.8134
K 0.5000 0.0000 0.1866
K 0.0000 0.5000 0.1866
In 0.5000 0.0000 0.5000
In 0.0000 0.0000 0.0000
In 0.0000 0.5000 0.5000
```

Results
The total magnetic moment comes out at 0.00 μB per cell. The calculation puts the calculated formation energy at -0.141 eV/atom. The calculation puts the density of states at the Fermi level at 10.5 states/eV/f.u.

No. 6
## CeEr2Ag (PBE-GGA)

Data for crystalline CeEr2Ag at its relaxed geometry. Values from VASP.

The structure in Quantum ESPRESSO input format:
```
&SYSTEM
  ibrav = 0, nat = 4, ntyp = 3
/
ATOMIC_SPECIES
Er 167.26 Er.upf
Ce 140.12 Ce.upf
Ag 107.87 Ag.upf
CELL_PARAMETERS angstrom
-3.5570 2.8405 2.6613
-4.7780 0.8447 -2.0641
-4.2286 -2.3579 2.0885
ATOMIC_POSITIONS crystal
Er 0.7500 0.7500 0.7500
Er 0.2500 0.2500 0.2500
Ce 0.0000 0.0000 0.0000
Ag 0.5000 0.5000 0.5000
```

Results
The total magnetic moment comes out at 3.01 μB per cell. The calculation puts the calculated formation energy at 0.133 eV/atom. As for the relative energy among the computed polymorphs: 0.231 eV per atom. The calculation puts the density of states at the Fermi level at 8.5 states/eV/f.u.

No. 7
## FeCoNiIr (PBE-GGA)

Data for crystalline FeCoNiIr at its relaxed geometry. Values from VASP.

The structure in Quantum ESPRESSO input format:
```
&SYSTEM
  ibrav = 0, nat = 4, ntyp = 4
/
ATOMIC_SPECIES
Fe 55.84 Fe.upf
Ir 192.22 Ir.upf
Ni 58.69 Ni.upf
Co 58.93 Co.upf
CELL_PARAMETERS angstrom
-2.7865 2.0177 -1.1779
-2.3368 -2.3849 1.4428
0.0282 1.8719 3.1398
ATOMIC_POSITIONS crystal
Fe 0.0000 0.5000 0.5000
Ir 0.0000 0.0000 0.0000
Ni 0.5000 0.5000 0.0000
Co 0.5000 0.0000 0.5000
```

Results
The total magnetic moment comes out at 4.87 μB per cell. The calculation puts the calculated formation energy at -0.023 eV/atom. As for the relative energy among the computed polymorphs: 0.000 eV per atom. The calculation puts the density of states at the Fermi level at 5.1 states/eV/f.u.

No. 8
## CeTm3Ru8 (PBE-GGA)

Data for crystalline CeTm3Ru8 at its relaxed geometry. Values from VASP.

The structure in Quantum ESPRESSO input format:
```
&SYSTEM
  ibrav = 0, nat = 12, ntyp = 3
/
ATOMIC_SPECIES
Ru 101.07 Ru.upf
Tm 168.93 Tm.upf
Ce 140.12 Ce.upf
CELL_PARAMETERS angstrom
-0.3383 4.6842 2.4742
-1.8610 0.2508 4.9650
7.3655 0.5987 5.5681
ATOMIC_POSITIONS crystal
Ru 0.4343 0.9377 0.6903
Ru 0.9377 0.9377 0.6903
Ru 0.4378 0.9398 0.1846
Ru 0.6876 0.6876 0.9372
Ru 0.1873 0.1873 0.4380
Ru 0.4378 0.4378 0.1846
Ru 0.9377 0.4343 0.6903
Ru 0.9398 0.4378 0.1846
Tm 0.4996 0.4996 0.5013
Tm 0.3754 0.3754 0.8739
Tm 0.0003 0.0003 0.9990
Ce 0.8747 0.8747 0.3758
```

Results
The total magnetic moment comes out at 0.00 μB per cell. The calculation puts the calculated formation energy at -0.325 eV/atom. The calculation puts the density of states at the Fermi level at 11.3 states/eV/f.u.

No. 9
## ReNiPb2 (PBE-GGA)

Data for crystalline ReNiPb2 at its relaxed geometry. Values from VASP.

The structure in Quantum ESPRESSO input format:
```
&SYSTEM
  ibrav = 0, nat = 4, ntyp = 3
/
ATOMIC_SPECIES
Ni 58.69 Ni.upf
Pb 207.20 Pb.upf
Re 186.21 Re.upf
CELL_PARAMETERS angstrom
-0.7233 1.4749 -6.0326
3.7553 -1.6994 -4.7012
-3.8399 -1.3658 4.7414
ATOMIC_POSITIONS crystal
Ni 0.2716 0.7716 0.5000
Pb 0.0343 0.0343 0.0000
Pb 0.7465 0.2465 0.5000
Re 0.4475 0.4475 0.0000
```

Results
The total magnetic moment comes out at 0.00 μB per cell. The calculation puts the calculated formation energy at 0.761 eV/atom. As for the relative energy among the computed polymorphs: 0.316 eV per atom. The calculation puts the density of states at the Fermi level at 4.6 states/eV/f.u.

No. 10
## Tb3NdAu2 (PBE-GGA)

Data for crystalline Tb3NdAu2 at its relaxed geometry. Values from VASP.

The structure in Quantum ESPRESSO input format:
```
&SYSTEM
  ibrav = 0, nat = 12, ntyp = 3
/
ATOMIC_SPECIES
Au 196.97 Au.upf
Nd 144.24 Nd.upf
Tb 158.93 Tb.upf
CELL_PARAMETERS angstrom
5.0194 0.0000 0.0000
0.0000 7.2082 0.0000
0.0000 0.0000 9.0528
ATOMIC_POSITIONS crystal
Au 0.0000 0.7543 0.3430
Au 0.5000 0.7468 0.8517
Au 0.5000 0.2468 0.1483
Au 0.0000 0.2543 0.6570
Nd 0.5000 0.0108 0.4258
Nd 0.5000 0.5108 0.5742
Tb 0.0000 0.4885 0.9283
Tb 0.0000 0.9885 0.0717
Tb 0.0000 0.8497 0.6692
Tb 0.5000 0.6498 0.1664
Tb 0.5000 0.1498 0.8336
Tb 0.0000 0.3497 0.3308
```

Results
The total magnetic moment comes out at 0.00 μB per cell. The calculation puts the calculated formation energy at -0.607 eV/atom. As for the relative energy among the computed polymorphs: 0.000 eV per atom. The calculation puts the density of states at the Fermi level at 6.4 states/eV/f.u.

No. 11
## AcTb3PrHo (PBE-GGA)

Data for crystalline AcTb3PrHo at its relaxed geometry. Values from VASP.

The structure in Quantum ESPRESSO input format:
```
&SYSTEM
  ibrav = 0, nat = 12, ntyp = 4
/
ATOMIC_SPECIES
Pr 140.91 Pr.upf
Tb 158.93 Tb.upf
Ho 164.93 Ho.upf
Ac 227.00 Ac.upf
CELL_PARAMETERS angstrom
5.7472 0.0000 0.0000
-2.8736 10.0388 1.7068
0.0000 -1.2300 7.1452
ATOMIC_POSITIONS crystal
Pr 0.0549 0.1099 0.2874
Pr 0.9451 0.8901 0.7126
Tb 0.7814 0.5627 0.7494
Tb 0.4799 0.9598 0.2749
Tb 0.2186 0.4373 0.2506
Tb 0.8314 0.6627 0.2749
Tb 0.1687 0.3373 0.7251
Tb 0.5201 0.0402 0.7251
Ho 0.3486 0.6972 0.5284
Ho 0.6514 0.3028 0.4716
Ac 0.3555 0.7110 0.9733
Ac 0.6445 0.2890 0.0267
```

Results
The total magnetic moment comes out at 0.00 μB per cell. The calculation puts the calculated formation energy at 0.217 eV/atom. The calculation puts the density of states at the Fermi level at 9.4 states/eV/f.u.

No. 12
## In2AsC (PBE-GGA)

Data for crystalline In2AsC at its relaxed geometry. Values from VASP.

The structure in Quantum ESPRESSO input format:
```
&SYSTEM
  ibrav = 0, nat = 4, ntyp = 3
/
ATOMIC_SPECIES
As 74.92 As.upf
In 114.82 In.upf
C 12.01 C.upf
CELL_PARAMETERS angstrom
3.0389 -2.0070 3.0813
0.4700 1.7916 4.3962
-1.6652 -2.4259 3.7550
ATOMIC_POSITIONS crystal
As 0.5000 0.5000 0.5000
In 0.7500 0.7500 0.7500
In 0.2500 0.2500 0.2500
C 0.0000 0.0000 0.0000
```

Results
The total magnetic moment comes out at 0.00 μB per cell. The calculation puts the calculated formation energy at 1.306 eV/atom. As for the relative energy among the computed polymorphs: 0.716 eV per atom. The calculation puts the density of states at the Fermi level at 2.7 states/eV/f.u.

Which of these has the highest total magnetic moment? FeCoNiIr

total magnetic moment of number 11 (AcTb3PrHo)? 0.00 μB per cell